# YZn3Br PBE optimized geometry
# ΔE_f (raw) (eV per atom): 0.524
# ΔE to the lowest computed polymorph (meV/atom): 0
data_YZn3Br
_symmetry_space_group_name_H-M 'P m -3 m'
_symmetry_Int_Tables_number 221
_symmetry_space_group_name_Hall '-P 4 2 3'
_cell_length_a 5.823
_cell_length_b 5.823
_cell_length_c 5.823
_cell_angle_alpha 90.00
_cell_angle_beta 90.00
_cell_angle_gamma 90.00
loop_
_atom_site_label
_atom_site_fract_x
_atom_site_fract_y
_atom_site_fract_z
Y1 0.000 0.000 0.000
Zn1 0.000 0.000 0.500
Br1 0.500 0.500 0.500